A plane-wave DFT calculation with PBE was carried out for an optimized crystal structure of RbSb2NCl.

Properties
magnetic moment = 0.26 μB/atom
ΔE_f (raw) = 1.902 eV/atom
total DFT energy (no corrections) = -9.875 eV per formula unit
V = 171.8 Å³/cell

Lattice parameters (Å, degrees): 6.291 4.340 6.291 90.00 90.00 90.00
Fractional coordinates of all 5 atoms:
Sb: 0.500 0.000 0.000
N: 0.000 0.500 0.000
Cl: 0.500 0.500 0.500
Sb: 0.000 0.000 0.500
Rb: 0.000 0.000 0.000


A plane-wave DFT calculation with PBE was carried out for an optimized crystal structure of Rb2SbNCl6.

Properties
magnetic moment = 0.20 μB/atom
ΔE_f (raw) = -0.689 eV/atom
total DFT energy (no corrections) = -32.350 eV per formula unit
V = 297.3 Å³/cell

Lattice parameters (Å, degrees): 8.085 8.085 7.305 56.40 56.40 90.00
Fractional coordinates of all 10 atoms:
Rb: 0.750 0.250 0.500
Cl: 0.230 0.770 0.000
Cl: 0.721 0.721 0.558
Cl: 0.230 0.230 0.000
N: 0.500 0.500 0.000
Cl: 0.279 0.279 0.442
Cl: 0.770 0.770 0.000
Rb: 0.250 0.750 0.500
Sb: 0.000 0.000 0.000
Cl: 0.770 0.230 0.000


What did the first record say?
A plane-wave DFT calculation with PBE was carried out for an optimized crystal structure of RbSb2NCl.

Properties
magnetic moment = 0.26 μB/atom
ΔE_f (raw) = 1.902 eV/atom
total DFT energy (no corrections) = -9.875 eV per formula unit
V = 171.8 Å³/cell

Lattice parameters (Å, degrees): 6.291 4.340 6.291 90.00 90.00 90.00
Fractional coordinates of all 5 atoms:
Sb: 0.500 0.000 0.000
N: 0.000 0.500 0.000
Cl: 0.500 0.500 0.500
Sb: 0.000 0.000 0.500
Rb: 0.000 0.000 0.000


What did the second record say?
A plane-wave DFT calculation with PBE was carried out for an optimized crystal structure of Rb2SbNCl6.

Properties
magnetic moment = 0.20 μB/atom
ΔE_f (raw) = -0.689 eV/atom
total DFT energy (no corrections) = -32.350 eV per formula unit
V = 297.3 Å³/cell

Lattice parameters (Å, degrees): 8.085 8.085 7.305 56.40 56.40 90.00
Fractional coordinates of all 10 atoms:
Rb: 0.750 0.250 0.500
Cl: 0.230 0.770 0.000
Cl: 0.721 0.721 0.558
Cl: 0.230 0.230 0.000
N: 0.500 0.500 0.000
Cl: 0.279 0.279 0.442
Cl: 0.770 0.770 0.000
Rb: 0.250 0.750 0.500
Sb: 0.000 0.000 0.000
Cl: 0.770 0.230 0.000